1.
{"formula": "Nd3Y6Ho2In", "functional": "PBE", "state": "relaxed", "total_magnetization_mub_per_cell": 0.73, "space_group": "C2/m, No. 12", "final_energy_ev_per_fu": -65.46, "crystal_system": "monoclinic", "lattice": [[-0.4166, -3.7397, -4.8987], [-3.5969, -0.9562, 4.9299], [-6.7207, 8.4275, -4.5613]], "species": ["Nd", "Nd", "Nd", "Y", "Y", "Y", "Y", "Y", "Y", "Ho", "Ho", "In"], "fractional_positions": [[0.1666, 0.8334, 0.5000], [0.8334, 0.1666, 0.5000], [0.5000, 0.5000, 0.5000], [0.9201, 0.5929, 0.7577], [0.7530, 0.7530, 0.2431], [0.0799, 0.4071, 0.2423], [0.5929, 0.9201, 0.7577], [0.2470, 0.2470, 0.7569], [0.4071, 0.0799, 0.2423], [0.3337, 0.6663, 0.0000], [0.6663, 0.3337, 0.0000], [0.0000, 0.0000, 0.0000]]}

---

2.
{"formula": "Sc4InHg", "functional": "PBE", "state": "relaxed", "total_magnetization_mub_per_cell": 0.00, "space_group": "Pmmm, No. 47", "final_energy_ev_per_fu": -28.89, "crystal_system": "orthorhombic", "lattice": [[-0.3821, -2.9608, -1.4639], [8.2986, -0.3286, -1.5011], [0.7404, -2.3776, 4.6155]], "species": ["Sc", "Sc", "Sc", "Sc", "In", "Hg"], "fractional_positions": [[0.5000, 0.7015, 0.0002], [0.5000, 0.2985, 0.9998], [0.0000, 0.1937, 0.4999], [0.0000, 0.8063, 0.5001], [0.5000, 0.5000, 0.5000], [0.0000, 0.0000, 0.0000]]}

---

3.
{"formula": "Ac2MgIn", "functional": "PBE", "state": "relaxed", "total_magnetization_mub_per_cell": 0.00, "space_group": "P4/mmm, No. 123", "final_energy_ev_per_fu": -13.55, "crystal_system": "tetragonal", "lattice": [[-3.2014, 0.4614, -2.5552], [3.2991, -1.7168, -4.4434], [-1.5616, -5.4961, 0.9641]], "species": ["Ac", "Ac", "Mg", "In"], "fractional_positions": [[0.0000, 0.0000, 0.5000], [0.0000, 0.5000, 0.0000], [0.5000, 0.0000, 0.0000], [0.5000, 0.5000, 0.5000]]}

---

4.
{"formula": "Al7Cr2Cu2", "functional": "PBE", "state": "relaxed", "total_magnetization_mub_per_cell": 0.00, "space_group": "Cmmm, No. 65", "final_energy_ev_per_fu": -51.75, "crystal_system": "orthorhombic", "lattice": [[5.1348, -0.0081, -1.0342], [0.0104, 7.0907, -0.0037], [-1.3521, 0.0046, 5.0603]], "species": ["Al", "Al", "Al", "Al", "Al", "Al", "Al", "Cr", "Cr", "Cu", "Cu"], "fractional_positions": [[0.0000, 0.3054, 0.5000], [0.5000, 0.6946, 0.0000], [0.0000, 0.6946, 0.5000], [0.5000, 0.3054, 0.0000], [0.0000, 0.0000, 0.0000], [0.5000, 0.7812, 0.5000], [0.5000, 0.2188, 0.5000], [0.8286, 0.5000, 0.8286], [0.1714, 0.5000, 0.1714], [0.7218, 0.0000, 0.2782], [0.2782, 0.0000, 0.7218]]}

---

5.
{"formula": "AlIn12Hg3", "functional": "PBE", "state": "relaxed", "total_magnetization_mub_per_cell": 0.00, "space_group": "P4/mmm, No. 123", "final_energy_ev_per_fu": -36.90, "crystal_system": "tetragonal", "lattice": [[4.5536, 0.0000, 0.0000], [0.0000, 4.5536, 0.0000], [0.0000, 0.0000, 20.2163]], "species": ["Al", "In", "In", "In", "In", "In", "In", "In", "In", "In", "In", "In", "In", "Hg", "Hg", "Hg"], "fractional_positions": [[0.0000, 0.0000, 0.0000], [0.5000, 0.5000, 0.0000], [0.5000, 0.5000, 0.2461], [0.5000, 0.5000, 0.5000], [0.5000, 0.5000, 0.7539], [0.5000, 0.0000, 0.1183], [0.5000, 0.0000, 0.3749], [0.5000, 0.0000, 0.6251], [0.5000, 0.0000, 0.8817], [0.0000, 0.5000, 0.1183], [0.0000, 0.5000, 0.3749], [0.0000, 0.5000, 0.6251], [0.0000, 0.5000, 0.8817], [0.0000, 0.0000, 0.2471], [0.0000, 0.0000, 0.5000], [0.0000, 0.0000, 0.7529]]}

---

6.
{"formula": "RbSiSe4", "functional": "PBE", "state": "relaxed", "total_magnetization_mub_per_cell": 0.00, "space_group": "C2/c, No. 15", "e_form_raw_mev_per_atom": -479, "final_energy_ev_per_fu": -23.20, "crystal_system": "monoclinic", "lattice": [[8.5350, -4.1196, -0.6635], [-1.7276, 8.7380, 4.3486], [-1.6526, 2.0275, 6.5659]], "species": ["Rb", "Rb", "Si", "Si", "Se", "Se", "Se", "Se", "Se", "Se", "Se", "Se"], "fractional_positions": [[0.7500, 0.3954, 0.2091], [0.2500, 0.6046, 0.7909], [0.2500, 0.0106, 0.9788], [0.7500, 0.9894, 0.0212], [0.7817, 0.3081, 0.8046], [0.0933, 0.1418, 0.5797], [0.7183, 0.8872, 0.8046], [0.4067, 0.2786, 0.5797], [0.5933, 0.7214, 0.4203], [0.2817, 0.1128, 0.1954], [0.9067, 0.8582, 0.4203], [0.2183, 0.6919, 0.1954]]}